(1)
Material: Tb6Sm7Ho16
Method: DFT, PBE-GGA
State: optimized geometry

Cell and atoms, written as CIF:
```
data_Tb6Sm7Ho16
_symmetry_space_group_name_H-M 'F m -3 m'
_symmetry_Int_Tables_number 225
_symmetry_space_group_name_Hall '-F 4 2 3'
_cell_length_a 15.5858
_cell_length_b 15.5858
_cell_length_c 15.5858
_cell_angle_alpha 90.00
_cell_angle_beta 90.00
_cell_angle_gamma 90.00
loop_
_atom_site_label
_atom_site_fract_x
_atom_site_fract_y
_atom_site_fract_z
Tb1 0.0000 0.0000 0.2234
Sm1 0.0000 0.0000 0.0000
Sm2 0.0000 0.2500 0.2500
Ho1 0.1134 0.1134 0.3866
Ho2 0.1494 0.1494 0.1494
```

Calculated values
Theoretical density   8.15 g/cm³
Total magnetic moment   0.0000 μB per atom
DFT total energy   -4.4410 eV/atom
DFT formation energy   0.18 eV/atom
DOS at the Fermi energy   1.69 states/eV per atom

(2)
Material: Pm5Pr4Hg
Method: DFT, PBE-GGA
State: optimized geometry

Cell and atoms, written as CIF:
```
data_Pm5Pr4Hg
_symmetry_space_group_name_H-M 'P 4/m m m'
_symmetry_Int_Tables_number 123
_symmetry_space_group_name_Hall '-P 4 2'
_cell_length_a 3.7073
_cell_length_b 3.7073
_cell_length_c 24.6176
_cell_angle_alpha 90.00
_cell_angle_beta 90.00
_cell_angle_gamma 90.00
loop_
_atom_site_label
_atom_site_fract_x
_atom_site_fract_y
_atom_site_fract_z
Pm1 0.0000 0.0000 0.0000
Pm2 0.0000 0.0000 0.2101
Pm3 0.0000 0.0000 0.4188
Pr1 0.5000 0.5000 0.1048
Pr2 0.5000 0.5000 0.3147
Hg1 0.5000 0.5000 0.5000
```

Calculated values
Theoretical density   7.31 g/cm³
Total magnetic moment   0.0000 μB per atom
DFT total energy   -4.4029 eV/atom
DFT formation energy   -0.09 eV/atom
DOS at the Fermi energy   1.32 states/eV per atom

(3)
Material: YTcHg2
Method: DFT, PBE-GGA
State: optimized geometry

Cell and atoms, written as CIF:
```
data_YTcHg2
_symmetry_space_group_name_H-M 'F -4 3 m'
_symmetry_Int_Tables_number 216
_symmetry_space_group_name_Hall 'F -4 2 3'
_cell_length_a 6.9706
_cell_length_b 6.9706
_cell_length_c 6.9706
_cell_angle_alpha 90.00
_cell_angle_beta 90.00
_cell_angle_gamma 90.00
loop_
_atom_site_label
_atom_site_fract_x
_atom_site_fract_y
_atom_site_fract_z
Y1 0.0000 0.0000 0.0000
Tc1 0.2500 0.2500 0.2500
Hg1 0.0000 0.0000 0.5000
Hg2 0.2500 0.2500 0.7500
```

Calculated values
Theoretical density   11.53 g/cm³
ΔE to the lowest computed polymorph   254 meV/atom
Total magnetic moment   0.0000 μB per atom
DFT total energy   -4.0429 eV/atom
DFT formation energy   0.32 eV/atom
DOS at the Fermi energy   1.22 states/eV per atom

(4)
Material: Tb5Pm2Dy5
Method: DFT, PBE-GGA
State: optimized geometry

Cell and atoms, written as CIF:
```
data_Tb5Pm2Dy5
_symmetry_space_group_name_H-M 'C 1 2/m 1'
_symmetry_Int_Tables_number 12
_cell_length_a 15.1333
_cell_length_b 5.0414
_cell_length_c 11.2817
_cell_angle_alpha 90.00
_cell_angle_beta 116.55
_cell_angle_gamma 90.00
loop_
_symmetry_equiv_pos_as_xyz
'x,y,z'
'-x,-y,-z'
'-x,y,-z'
'x,-y,z'
'x+1/2,y+1/2,z'
'-x+1/2,-y+1/2,-z'
'-x+1/2,y+1/2,-z'
'x+1/2,-y+1/2,z'
loop_
_atom_site_label
_atom_site_fract_x
_atom_site_fract_y
_atom_site_fract_z
Tb1 0.0000 0.0000 0.0000
Tb2 0.0842 0.0000 0.7503
Tb3 0.1664 0.0000 0.5000
Pm1 0.0831 0.5000 0.2493
Dy1 0.0000 0.5000 0.5000
Dy2 0.1675 0.5000 0.0002
Dy3 0.2491 0.5000 0.7496
```

Calculated values
Theoretical density   8.18 g/cm³
Total magnetic moment   0.0000 μB per atom
DFT total energy   -4.6223 eV/atom
DFT formation energy   0.02 eV/atom
DOS at the Fermi energy   1.40 states/eV per atom

(5)
Material: In3Te
Method: DFT, PBE-GGA
State: optimized geometry

Cell and atoms, written as CIF:
```
data_In3Te
_symmetry_space_group_name_H-M 'P 4/m m m'
_symmetry_Int_Tables_number 123
_symmetry_space_group_name_Hall '-P 4 2'
_cell_length_a 4.0150
_cell_length_b 4.0150
_cell_length_c 7.2363
_cell_angle_alpha 90.00
_cell_angle_beta 90.00
_cell_angle_gamma 90.00
loop_
_atom_site_label
_atom_site_fract_x
_atom_site_fract_y
_atom_site_fract_z
In1 0.0000 0.0000 0.0000
In2 0.5000 0.5000 0.2591
Te1 0.0000 0.0000 0.5000
```

Calculated values
Theoretical density   6.72 g/cm³
E_form (uncorrected)   -0.090 eV per atom
Total magnetic moment   0.0000 μB per atom
DFT total energy   -2.9296 eV/atom
DOS at the Fermi energy   0.20 states/eV per atom

(6)
Material: CeP2Pd2
Method: DFT, PBE-GGA
State: optimized geometry

Cell and atoms, written as CIF:
```
data_CeP2Pd2
_symmetry_space_group_name_H-M 'C 1 2/c 1'
_symmetry_Int_Tables_number 15
_cell_length_a 8.3158
_cell_length_b 9.8669
_cell_length_c 5.7980
_cell_angle_alpha 90.00
_cell_angle_beta 125.46
_cell_angle_gamma 90.00
loop_
_symmetry_equiv_pos_as_xyz
'x,y,z'
'-x,-y,-z'
'-x,y,-z+1/2'
'x,-y,z+1/2'
'x+1/2,y+1/2,z'
'-x+1/2,-y+1/2,-z'
'-x+1/2,y+1/2,-z+1/2'
'x+1/2,-y+1/2,z+1/2'
loop_
_atom_site_label
_atom_site_fract_x
_atom_site_fract_y
_atom_site_fract_z
Ce1 0.0000 0.1329 0.2500
P1 0.0000 0.1601 0.7500
P2 0.0000 0.4254 0.2500
Pd1 0.1633 0.3694 0.0278
```

Calculated values
Theoretical density   7.11 g/cm³
Total magnetic moment   0.0946 μB per atom
DFT total energy   -6.1787 eV/atom
DFT formation energy   -0.75 eV/atom
DOS at the Fermi energy   1.23 states/eV per atom

- What is the total magnetic moment in the sixth record?
  0.0946 μB per atom

- What is the formula in the fifth record?
  In3Te

Please write out number 3 again, unchanged.
Material: YTcHg2
Method: DFT, PBE-GGA
State: optimized geometry

Cell and atoms, written as CIF:
```
data_YTcHg2
_symmetry_space_group_name_H-M 'F -4 3 m'
_symmetry_Int_Tables_number 216
_symmetry_space_group_name_Hall 'F -4 2 3'
_cell_length_a 6.9706
_cell_length_b 6.9706
_cell_length_c 6.9706
_cell_angle_alpha 90.00
_cell_angle_beta 90.00
_cell_angle_gamma 90.00
loop_
_atom_site_label
_atom_site_fract_x
_atom_site_fract_y
_atom_site_fract_z
Y1 0.0000 0.0000 0.0000
Tc1 0.2500 0.2500 0.2500
Hg1 0.0000 0.0000 0.5000
Hg2 0.2500 0.2500 0.7500
```

Calculated values
Theoretical density   11.53 g/cm³
ΔE to the lowest computed polymorph   254 meV/atom
Total magnetic moment   0.0000 μB per atom
DFT total energy   -4.0429 eV/atom
DFT formation energy   0.32 eV/atom
DOS at the Fermi energy   1.22 states/eV per atom